A plane-wave DFT calculation with GGA-PBE was carried out for a relaxed structure of Na4Sm3ErSe8.

Summary:
- SG = R-3m, No. 166
- DFT total energy (eV for the cell shown) = -79.0

abc: 8.4063 8.5299 8.4062
angles: 119.54 120.00 90.00
Last column: nearest neighbours and their distance in Å.
Element x y z (fractional)
Se1 0.2407 0.7313 0.4814  1 Er 2.88, 2 Sm 2.94, 3 Na 3.05-3.11
Se2 0.2407 0.7313 0.9908  1 Er 2.88, 2 Sm 2.94, 3 Na 3.05-3.11
Se3 0.7593 0.2687 0.0092  1 Er 2.88, 2 Sm 2.94, 3 Na 3.05-3.11
Se4 0.7502 0.7313 0.9908  1 Er 2.88, 2 Sm 2.94, 3 Na 3.05-3.11
Se5 0.7593 0.2687 0.5186  1 Er 2.88, 2 Sm 2.94, 3 Na 3.05-3.11
Se6 0.2498 0.2687 0.0092  1 Er 2.88, 2 Sm 2.94, 3 Na 3.05-3.11
Se7 0.7449 0.7346 0.4899  3 Sm 2.93, 3 Na 3.06
Se8 0.2551 0.2654 0.5101  3 Sm 2.93, 3 Na 3.06
Na1 0.5000 0.0000 0.0000  6 Se 3.11
Na2 0.0000 0.0000 0.0000  6 Se 3.05-3.06
Na3 0.5000 0.0000 0.5000  6 Se 3.05-3.06
Na4 0.0000 0.0000 0.5000  6 Se 3.05-3.06
Sm1 0.5000 0.5000 0.5000  6 Se 2.93-2.94
Sm2 0.5000 0.5000 0.0000  6 Se 2.93-2.94
Sm3 0.0000 0.5000 0.5000  6 Se 2.93-2.94
Er1 0.0000 0.5000 0.0000  6 Se 2.88

A plane-wave DFT calculation with GGA-PBE was carried out for a relaxed structure of BaSc2Bi2S.

Summary:
- SG = P4/mmm, No. 123
- DFT total energy (eV for the cell shown) = -33.4

abc: 4.9306 4.9306 7.3442
angles: 90.00 90.00 90.00
Last column: nearest neighbours and their distance in Å.
Element x y z (fractional)
Sc1 0.0000 0.5000 0.0000  2 S 2.47
Sc2 0.5000 0.0000 0.0000  2 S 2.47
Ba1 0.0000 0.0000 0.5000  2 S 3.67, 8 Bi 3.88
Bi1 0.5000 0.5000 0.2671  4 Sc 3.15, 1 Bi 3.42
Bi2 0.5000 0.5000 0.7329  4 Sc 3.15, 1 Bi 3.42
S1 0.0000 0.0000 0.0000  4 Sc 2.47